Record 1
The following is a PBEsol calculation of a geometry-optimized Y5Cd3 structure, from the Alexandria database. Values from VASP.

```
&SYSTEM
  ibrav = 0, nat = 16, ntyp = 2
/
ATOMIC_SPECIES
Cd 112.41 Cd.upf
Y 88.91 Y.upf
CELL_PARAMETERS angstrom
5.762 0.000 0.000
2.881 8.594 0.000
2.881 0.000 8.594
ATOMIC_POSITIONS crystal
Cd 0.750 0.000 0.000
Cd 0.250 0.000 0.000
Cd 0.336 0.827 0.500
Cd 0.164 0.500 0.173
Cd 0.836 0.500 0.827
Cd 0.664 0.173 0.500
Y 0.250 0.500 0.500
Y 0.720 0.864 0.697
Y 0.583 0.697 0.136
Y 0.750 0.500 0.500
Y 0.417 0.303 0.864
Y 0.083 0.136 0.697
Y 0.280 0.136 0.303
Y 0.780 0.303 0.136
Y 0.220 0.697 0.864
Y 0.917 0.864 0.303
```

Values from the calculation:
As for the total energy: -0.181 Ha/atom. The calculated formation energy is -222 meV/atom.

Record 2
The following is a PBEsol calculation of a geometry-optimized LaCuPd structure, from the Alexandria database. Values from VASP.

```
&SYSTEM
  ibrav = 0, nat = 9, ntyp = 3
/
ATOMIC_SPECIES
Pd 106.42 Pd.upf
Cu 63.55 Cu.upf
La 138.91 La.upf
CELL_PARAMETERS angstrom
4.071 0.000 0.000
0.000 7.148 0.000
0.000 -3.574 6.190
ATOMIC_POSITIONS crystal
Pd 0.500 0.667 0.333
Pd 0.000 0.000 0.000
Pd 0.500 0.333 0.667
Cu 0.500 0.227 0.000
Cu 0.500 0.000 0.227
Cu 0.500 0.773 0.773
La 0.000 0.000 0.593
La 0.000 0.407 0.407
La 0.000 0.593 0.000
```

Values from the calculation:
As for the total energy: -0.210 Ha/atom. The calculated formation energy is -489 meV/atom.

Record 3
The following is a PBEsol calculation of a geometry-optimized TbTa3O9 structure, from the Alexandria database. Values from VASP.

```
&SYSTEM
  ibrav = 0, nat = 26, ntyp = 3
/
ATOMIC_SPECIES
O 16.00 O.upf
Tb 158.93 Tb.upf
Ta 180.95 Ta.upf
CELL_PARAMETERS angstrom
5.510 0.000 0.000
2.755 8.295 -0.006
2.755 2.763 7.855
ATOMIC_POSITIONS crystal
O 0.000 0.500 0.500
O 0.927 0.429 0.217
O 0.097 0.103 0.227
O 0.273 0.750 0.226
O 0.572 0.571 0.783
O 0.823 0.354 0.001
O 0.903 0.897 0.773
O 0.500 0.000 0.000
O 0.750 0.750 0.226
O 0.428 0.429 0.217
O 0.427 0.897 0.773
O 0.336 0.831 0.496
O 0.664 0.169 0.504
O 0.250 0.250 0.774
O 0.073 0.571 0.783
O 0.727 0.250 0.774
O 0.573 0.103 0.227
O 0.177 0.646 0.999
Tb 0.321 0.355 0.003
Tb 0.679 0.645 0.997
Ta 0.583 0.080 0.754
Ta 0.748 0.239 0.264
Ta 0.417 0.920 0.246
Ta 0.076 0.592 0.257
Ta 0.924 0.408 0.743
Ta 0.252 0.761 0.736
```

Values from the calculation:
The formation energy without anion corrections is -69.22 kcal/mol of atoms. As for the total energy: -0.364 Ha/atom.

Record 4
The following is a PBEsol calculation of a geometry-optimized YCrPt3 structure, from the Alexandria database. Values from VASP.

```
&SYSTEM
  ibrav = 0, nat = 5, ntyp = 3
/
ATOMIC_SPECIES
Y 88.91 Y.upf
Pt 195.08 Pt.upf
Cr 52.00 Cr.upf
CELL_PARAMETERS angstrom
4.587 0.000 0.000
0.000 4.587 0.000
0.000 0.000 4.587
ATOMIC_POSITIONS crystal
Y 0.500 0.500 0.500
Pt 0.500 0.000 0.000
Pt 0.000 0.000 0.500
Pt 0.000 0.500 0.000
Cr 0.000 0.000 0.000
```

Values from the calculation:
As for the total energy: -0.277 Ha/atom. The calculated formation energy is 51 meV/atom.

Record 5
The following is a PBEsol calculation of a geometry-optimized KTl2 structure, from the Alexandria database. Values from VASP.

```
&SYSTEM
  ibrav = 0, nat = 6, ntyp = 2
/
ATOMIC_SPECIES
K 39.10 K.upf
Tl 204.38 Tl.upf
CELL_PARAMETERS angstrom
3.532 0.000 0.000
-1.766 6.509 0.064
0.000 -0.358 8.612
ATOMIC_POSITIONS crystal
K 0.953 0.907 0.997
K 0.704 0.408 0.315
Tl 0.686 0.371 0.883
Tl 0.440 0.880 0.354
Tl 0.056 0.113 0.621
Tl 0.327 0.655 0.663
```

Values from the calculation:
As for the total energy: -0.080 Ha/atom. The calculated formation energy is -49 meV/atom.

Record 6
The following is a PBEsol calculation of a geometry-optimized Cd2RuPt structure, from the Alexandria database. Values from VASP.

```
&SYSTEM
  ibrav = 0, nat = 4, ntyp = 3
/
ATOMIC_SPECIES
Pt 195.08 Pt.upf
Ru 101.07 Ru.upf
Cd 112.41 Cd.upf
CELL_PARAMETERS angstrom
2.800 0.000 0.000
-1.400 4.638 -0.002
0.000 -0.810 5.002
ATOMIC_POSITIONS crystal
Pt 0.000 0.000 0.500
Ru 0.500 0.000 0.000
Cd 0.751 0.502 0.752
Cd 0.249 0.498 0.248
```

Values from the calculation:
As for the total energy: -0.174 Ha/atom. The calculated formation energy is 138 meV/atom.

Record 7
The following is a PBEsol calculation of a geometry-optimized BeAs2W structure, from the Alexandria database. Values from VASP.

```
&SYSTEM
  ibrav = 0, nat = 4, ntyp = 3
/
ATOMIC_SPECIES
Be 9.01 Be.upf
W 183.84 W.upf
As 74.92 As.upf
CELL_PARAMETERS angstrom
3.224 0.000 0.000
-1.612 4.283 0.145
0.000 -0.660 4.574
ATOMIC_POSITIONS crystal
Be 0.521 0.042 0.548
W 0.255 0.510 0.735
As 0.982 0.963 0.901
As 0.743 0.485 0.316
```

Values from the calculation:
As for the total energy: -0.247 Ha/atom. The calculated formation energy is 287 meV/atom.

Record 8
The following is a PBEsol calculation of a geometry-optimized TcMo3 structure, from the Alexandria database. Values from VASP.

```
&SYSTEM
  ibrav = 0, nat = 4, ntyp = 2
/
ATOMIC_SPECIES
Mo 95.94 Mo.upf
Tc 98.00 Tc.upf
CELL_PARAMETERS angstrom
-0.182 -2.944 3.255
-0.046 -4.294 -0.923
3.507 -2.481 0.916
ATOMIC_POSITIONS crystal
Mo 0.750 0.750 0.750
Mo 0.500 0.500 0.500
Mo 0.250 0.250 0.250
Tc 0.000 0.000 0.000
```

Values from the calculation:
As for the total energy: -0.426 Ha/atom. The calculated formation energy is 55 meV/atom.

Record 9
The following is a PBEsol calculation of a geometry-optimized TeAs2Br structure, from the Alexandria database. Values from VASP.

```
&SYSTEM
  ibrav = 0, nat = 4, ntyp = 3
/
ATOMIC_SPECIES
Br 79.90 Br.upf
Te 127.60 Te.upf
As 74.92 As.upf
CELL_PARAMETERS angstrom
-2.816 1.315 1.587
-3.176 -2.840 -3.281
3.045 -2.914 3.982
ATOMIC_POSITIONS crystal
Br 0.500 0.000 0.000
Te 0.000 0.500 0.000
As 0.727 0.727 0.454
As 0.273 0.273 0.546
```

Values from the calculation:
The formation energy without anion corrections is 9.16 kcal/mol of atoms. As for the total energy: -0.129 Ha/atom.

Record 10
The following is a PBEsol calculation of a geometry-optimized ZnRu2 structure, from the Alexandria database. Values from VASP.

```
&SYSTEM
  ibrav = 0, nat = 3, ntyp = 2
/
ATOMIC_SPECIES
Ru 101.07 Ru.upf
Zn 65.41 Zn.upf
CELL_PARAMETERS angstrom
2.741 0.000 0.000
0.000 2.741 0.000
-1.371 -1.371 5.327
ATOMIC_POSITIONS crystal
Ru 0.328 0.328 0.655
Ru 0.672 0.672 0.345
Zn 0.000 0.000 0.000
```

Values from the calculation:
As for the total energy: -0.268 Ha/atom. The calculated formation energy is 6 meV/atom.

Record 11
The following is a PBEsol calculation of a geometry-optimized ScTc2Ir structure, from the Alexandria database. Values from VASP.

```
&SYSTEM
  ibrav = 0, nat = 4, ntyp = 3
/
ATOMIC_SPECIES
Tc 98.00 Tc.upf
Sc 44.96 Sc.upf
Ir 192.22 Ir.upf
CELL_PARAMETERS angstrom
-0.666 1.327 -2.282
-2.348 -1.375 -0.114
-3.672 5.896 4.500
ATOMIC_POSITIONS crystal
Tc 0.000 0.000 0.773
Tc 0.000 0.000 0.227
Sc 0.500 0.500 0.500
Ir 0.500 0.500 0.000
```

Values from the calculation:
As for the total energy: -0.358 Ha/atom. The calculated formation energy is -12 meV/atom.

Record 12
The following is a PBEsol calculation of a geometry-optimized AgPbSe structure, from the Alexandria database. Values from VASP.

```
&SYSTEM
  ibrav = 0, nat = 3, ntyp = 3
/
ATOMIC_SPECIES
Pb 207.20 Pb.upf
Ag 107.87 Ag.upf
Se 78.96 Se.upf
CELL_PARAMETERS angstrom
-1.085 3.976 0.056
-2.876 -2.915 -0.469
-0.561 -0.220 4.815
ATOMIC_POSITIONS crystal
Pb 0.333 0.667 0.683
Ag 0.000 0.000 0.038
Se 0.667 0.333 0.279
```

Values from the calculation:
The formation energy without anion corrections is -2.85 kcal/mol of atoms. As for the total energy: -0.141 Ha/atom.